Record 1
First-principles (PBE) data for an optimized crystal structure of LaDyTmCu, as listed in Alexandria via LeMat-Bulk.

abc: 3.5146 3.5146 8.7978
angles: 90.00 90.00 90.00
Space group P4mm (No. 99)
Unique sites:
La (0.0000, 0.0000, 0.0000) x1
Dy (0.5000, 0.5000, 0.6852) x1
Tm (0.5000, 0.5000, 0.3111) x1
Cu (0.0000, 0.0000, 0.4916) x1

Computed properties:
M_tot: 0.0 Bohr magnetons per cell
formation energy: -102 meV/atom
D(E_F): 3.935 states/eV per cell



Record 2
First-principles (PBE) data for an optimized crystal structure of Y2SbPtPb, as listed in Alexandria via LeMat-Bulk.

abc: 5.7143 5.7143 5.4801
angles: 90.00 90.00 90.00
Space group P4/mmm (No. 123)
Unique sites:
Y (0.0000, 0.5000, 0.0000) x2
Sb (0.0000, 0.0000, 0.5000) x1
Pt (0.5000, 0.5000, 0.5000) x1
Pb (0.0000, 0.0000, 0.0000) x1

Computed properties:
M_tot: 0.0 Bohr magnetons per cell
E_tot: -23.2 eV for the cell shown
D(E_F): 4.989 states/eV per cell



Record 3
First-principles (PBE) data for an optimized crystal structure of Be2CoPt, as listed in Alexandria via LeMat-Bulk.

abc: 2.7464 3.7786 8.1441
angles: 90.00 90.00 90.00
Space group Imm2 (No. 44)
Unique sites:
Be (0.0000, 0.0000, 0.0000) x2
Be (0.0000, 0.5000, 0.2608) x2
Co (0.0000, 0.5000, 0.7426) x2
Pt (0.0000, 0.0000, 0.5108) x2

Computed properties:
M_tot: 1.8 Bohr magnetons per cell
formation energy: -337 meV/atom
D(E_F): 5.243 states/eV per cell



Record 4
First-principles (PBE) data for an optimized crystal structure of CsSrY3, as listed in Alexandria via LeMat-Bulk.

abc: 5.8450 5.8450 5.8450
angles: 90.00 90.00 90.00
Space group Pm-3m (No. 221)
Unique sites:
Cs (0.0000, 0.0000, 0.0000) x1
Sr (0.5000, 0.5000, 0.5000) x1
Y (0.0000, 0.0000, 0.5000) x3

Computed properties:
M_tot: 0.0 Bohr magnetons per cell
formation energy: 935 meV/atom
D(E_F): 1.609 states/eV per cell



Record 5
First-principles (PBE) data for an optimized crystal structure of SrLi2MgZn, as listed in Alexandria via LeMat-Bulk.

abc: 5.1251 5.1251 5.1088
angles: 90.00 90.00 90.00
Space group P4/mmm (No. 123)
Unique sites:
Sr (0.0000, 0.0000, 0.0000) x1
Li (0.0000, 0.5000, 0.5000) x2
Mg (0.5000, 0.5000, 0.0000) x1
Zn (0.5000, 0.5000, 0.5000) x1

Computed properties:
M_tot: 0.0 Bohr magnetons per cell
formation energy: 8 meV/atom
D(E_F): 3.523 states/eV per cell



Record 6
First-principles (PBE) data for an optimized crystal structure of SrHgBi4, as listed in Alexandria via LeMat-Bulk.

abc: 9.4204 9.4204 9.4204
angles: 90.00 90.00 90.00
Space group F-43m (No. 216)
Unique sites:
Sr (0.0000, 0.0000, 0.0000) x4
Hg (0.2500, 0.2500, 0.7500) x4
Bi (0.1238, 0.1238, 0.3762) x16

Computed properties:
M_tot: 0.0 Bohr magnetons per cell
formation energy: -187 meV/atom
D(E_F): 26.067 states/eV per cell



Record 7
First-principles (PBE) data for an optimized crystal structure of Pr3SbO3, as listed in Alexandria via LeMat-Bulk.

abc: 7.0208 7.0208 22.9972
angles: 90.00 90.00 120.00
Space group R-3 (No. 148, hexagonal axes)
Unique sites:
Pr (0.0028, 0.6488, 0.3990) x18
Sb (0.0000, 0.0000, 0.1666) x6
O (0.0064, 0.6840, 0.6268) x18

Computed properties:
M_tot: 0.0 Bohr magnetons per cell
E_tot: -309.1 eV for the cell shown
D(E_F): 8.842 states/eV per cell



Record 8
First-principles (PBE) data for an optimized crystal structure of Nd8Ge3SeS4, as listed in Alexandria via LeMat-Bulk.

abc: 8.4038 8.4038 20.4490
angles: 90.00 90.00 120.00
Space group R-3m (No. 166, hexagonal axes)
Unique sites:
Nd (0.0000, 0.0000, 0.2493) x6
Nd (0.0053, 0.5027, 0.2494) x18
Ge (0.0000, 0.5000, 0.0000) x9
Se (0.0000, 0.0000, 0.0000) x3
S (0.0000, 0.0000, 0.5000) x3
S (0.0000, 0.5000, 0.5000) x9

Computed properties:
M_tot: 0.0 Bohr magnetons per cell
E_tot: -293.0 eV for the cell shown
D(E_F): 9.029 states/eV per cell



Record 9
First-principles (PBE) data for an optimized crystal structure of Sr2LaSc, as listed in Alexandria via LeMat-Bulk.

abc: 4.2525 6.0092 6.1810
angles: 90.00 90.00 90.00
Space group Pmmm (No. 47)
Unique sites:
Sr (0.0000, 0.0000, 0.0000) x1
Sr (0.5000, 0.5000, 0.0000) x1
La (0.0000, 0.5000, 0.5000) x1
Sc (0.5000, 0.0000, 0.5000) x1

Computed properties:
M_tot: 0.0 Bohr magnetons per cell
formation energy: 289 meV/atom
D(E_F): 7.335 states/eV per cell



Record 10
First-principles (PBE) data for an optimized crystal structure of BiSb2TePb, as listed in Alexandria via LeMat-Bulk.

abc: 5.7791 5.7791 5.9830
angles: 90.00 90.00 90.00
Space group P4/mmm (No. 123)
Unique sites:
Bi (0.0000, 0.0000, 0.0000) x1
Sb (0.0000, 0.5000, 0.0000) x2
Te (0.0000, 0.0000, 0.5000) x1
Pb (0.5000, 0.5000, 0.5000) x1

Computed properties:
M_tot: 0.0 Bohr magnetons per cell
E_tot: -15.7 eV for the cell shown
D(E_F): 5.481 states/eV per cell



Record 11
First-principles (PBE) data for an optimized crystal structure of PmNdCoOs, as listed in Alexandria via LeMat-Bulk.

abc: 4.1279 4.1279 21.2058
angles: 90.00 90.00 120.00
Space group R3m (No. 160, hexagonal axes)
Unique sites:
Pm (0.0000, 0.0000, 0.0000) x3
Nd (0.0000, 0.0000, 0.8231) x3
Co (0.0000, 0.0000, 0.2443) x3
Os (0.0000, 0.0000, 0.5800) x3

Computed properties:
M_tot: 2.4 Bohr magnetons per cell
formation energy: -79 meV/atom
D(E_F): 19.403 states/eV per cell



Record 12
First-principles (PBE) data for an optimized crystal structure of LaMgSb, as listed in Alexandria via LeMat-Bulk.

abc: 4.2270 5.3586 16.6088
angles: 90.00 90.00 90.00
Space group Immm (No. 71)
Unique sites:
La (0.0000, 0.0000, 0.1576) x4
Mg (0.0000, 0.2560, 0.5000) x4
Sb (0.0000, 0.0000, 0.3487) x4

Computed properties:
M_tot: 0.0 Bohr magnetons per cell
E_tot: -49.6 eV for the cell shown
D(E_F): 6.170 states/eV per cell



Record 13
First-principles (PBE) data for an optimized crystal structure of La6Ho2Er5, as listed in Alexandria via LeMat-Bulk.

abc: 11.7501 20.8244 3.6337
angles: 90.00 90.00 90.00
Space group Pbam (No. 55)
Unique sites:
La (0.0590, 0.0803, 0.0000) x4
La (0.0824, 0.3669, 0.0000) x4
La (0.1723, 0.6350, 0.5000) x4
Ho (0.1632, 0.7909, 0.0000) x4
Er (0.0000, 0.5000, 0.5000) x2
Er (0.0951, 0.2270, 0.5000) x4
Er (0.1999, 0.9426, 0.5000) x4

Computed properties:
M_tot: 0.0 Bohr magnetons per cell
formation energy: 116 meV/atom
D(E_F): 35.954 states/eV per cell



Record 14
First-principles (PBE) data for an optimized crystal structure of Cs2URhO6, as listed in Alexandria via LeMat-Bulk.

abc: 8.4607 8.4607 8.4607
angles: 90.00 90.00 90.00
Space group Fm-3m (No. 225)
Unique sites:
Cs (0.2500, 0.2500, 0.2500) x8
U (0.0000, 0.0000, 0.0000) x4
Rh (0.0000, 0.0000, 0.5000) x4
O (0.0000, 0.0000, 0.2514) x24

Computed properties:
M_tot: 0.0 Bohr magnetons per cell
E_tot: -274.1 eV for the cell shown
D(E_F): 27.723 states/eV per cell



Record 15
First-principles (PBE) data for an optimized crystal structure of Pr3Dy8Er4, as listed in Alexandria via LeMat-Bulk.

abc: 13.4196 12.8011 6.7466
angles: 90.00 120.08 90.00
Space group C2/m (No. 12)
Unique sites:
Pr (0.0000, 0.0000, 0.0000) x2
Pr (0.2500, 0.2500, 0.5000) x4
Dy (0.0000, 0.1419, 0.5000) x4
Dy (0.0000, 0.2484, 0.0000) x4
Dy (0.2296, 0.0000, 0.5088) x4
Dy (0.2439, 0.0000, 0.0003) x4
Er (0.0000, 0.5000, 0.0000) x2
Er (0.0000, 0.5000, 0.5000) x2
Er (0.2500, 0.2500, 0.0000) x4

Computed properties:
M_tot: 0.0 Bohr magnetons per cell
formation energy: 395 meV/atom
D(E_F): 56.681 states/eV per cell



Record 16
First-principles (PBE) data for an optimized crystal structure of MgBeAg2, as listed in Alexandria via LeMat-Bulk.

abc: 3.1521 3.1521 6.4287
angles: 90.00 90.00 90.00
Space group P4mm (No. 99)
Unique sites:
Mg (0.0000, 0.0000, 0.0000) x1
Be (0.5000, 0.5000, 0.7323) x1
Ag (0.0000, 0.0000, 0.5672) x1
Ag (0.5000, 0.5000, 0.2733) x1

Computed properties:
M_tot: 0.0 Bohr magnetons per cell
formation energy: 53 meV/atom
D(E_F): 0.750 states/eV per cell



Record 17
First-principles (PBE) data for an optimized crystal structure of YGa2CoBi, as listed in Alexandria via LeMat-Bulk.

abc: 4.6375 4.6375 5.1703
angles: 90.00 90.00 90.00
Space group P4/mmm (No. 123)
Unique sites:
Y (0.0000, 0.0000, 0.0000) x1
Ga (0.0000, 0.5000, 0.5000) x2
Co (0.0000, 0.0000, 0.5000) x1
Bi (0.5000, 0.5000, 0.0000) x1

Computed properties:
M_tot: 0.0 Bohr magnetons per cell
formation energy: -302 meV/atom
D(E_F): 3.416 states/eV per cell



Record 18
First-principles (PBE) data for an optimized crystal structure of Ho2CuGe4Pd3, as listed in Alexandria via LeMat-Bulk.

abc: 4.1123 4.1123 10.8242
angles: 90.00 90.00 90.00
Space group P-4m2 (No. 115)
Unique sites:
Ho (0.0000, 0.5000, 0.2350) x2
Cu (0.5000, 0.5000, 0.0000) x1
Ge (0.0000, 0.0000, 0.5000) x1
Ge (0.0000, 0.5000, 0.8668) x2
Ge (0.5000, 0.5000, 0.5000) x1
Pd (0.0000, 0.0000, 0.0000) x1
Pd (0.0000, 0.5000, 0.6413) x2

Computed properties:
M_tot: 0.0 Bohr magnetons per cell
formation energy: -686 meV/atom
D(E_F): 4.577 states/eV per cell



Record 19
First-principles (PBE) data for an optimized crystal structure of YBeTe, as listed in Alexandria via LeMat-Bulk.

abc: 4.3612 4.3612 3.8982
angles: 90.00 90.00 120.00
Space group P3m1 (No. 156)
Unique sites:
Y (0.0000, 0.0000, 0.0000) x1
Be (0.6667, 0.3333, 0.4955) x1
Te (0.3333, 0.6667, 0.5005) x1

Computed properties:
M_tot: 0.0 Bohr magnetons per cell
E_tot: -14.2 eV for the cell shown
D(E_F): 1.719 states/eV per cell



Record 20
First-principles (PBE) data for an optimized crystal structure of Na2CaRh2, as listed in Alexandria via LeMat-Bulk.

abc: 4.7248 4.7248 9.4696
angles: 90.00 90.00 90.00
Space group I4/mmm (No. 139)
Unique sites:
Na (0.0000, 0.0000, 0.1255) x4
Ca (0.0000, 0.0000, 0.5000) x2
Rh (0.0000, 0.5000, 0.2500) x4

Computed properties:
M_tot: 0.0 Bohr magnetons per cell
formation energy: 453 meV/atom
D(E_F): 6.547 states/eV per cell



Record 21
First-principles (PBE) data for an optimized crystal structure of LaUGe, as listed in Alexandria via LeMat-Bulk.

abc: 14.1415 3.7437 5.9427
angles: 90.00 90.00 90.00
Space group Pnma (No. 62)
Unique sites:
La (0.2163, 0.2500, 0.1916) x4
U (0.0475, 0.7500, 0.9174) x4
Ge (0.0600, 0.7500, 0.4146) x4

Computed properties:
M_tot: 0.0 Bohr magnetons per cell
formation energy: -114 meV/atom
D(E_F): 18.702 states/eV per cell



Record 22
First-principles (PBE) data for an optimized crystal structure of Ba2Ag2Sn, as listed in Alexandria via LeMat-Bulk.

abc: 4.0531 4.0531 20.3913
angles: 90.00 90.00 90.00
Space group I4/mmm (No. 139)
Unique sites:
Ba (0.0000, 0.0000, 0.1086) x4
Ag (0.0000, 0.5000, 0.2500) x4
Sn (0.0000, 0.0000, 0.5000) x2

Computed properties:
M_tot: 0.0 Bohr magnetons per cell
formation energy: -289 meV/atom
D(E_F): 4.884 states/eV per cell